DFT (PBE-GGA) results for TlSCl2F after structural relaxation.

Structure (POSCAR):
```
TlSCl2F
1.0
5.156 0.000 0.000
0.000 5.156 0.000
0.000 0.000 5.589
Tl S Cl F
1 1 2 1
Direct
0.000 0.000 0.000
0.000 0.000 0.500
0.000 0.500 0.000
0.500 0.000 0.000
0.500 0.500 0.500
```

**Relative energy among the computed polymorphs**: 0.634 eV/atom
**Formation energy from raw total energies**: 0.6 eV per formula unit
**DFT total energy**: -11.471 eV/cell
**Total magnetization**: 2.3 μB per formula unit